# Ni2AgPd7

A relaxed Ni2AgPd7 crystal (PBE, the Alexandria database).

For the spin magnetization, the calculation gives 0.36 μB/atom. Its total DFT energy (no corrections) is -4.56 eV per atom. For the formation energy, the calculation gives 0.52 eV per atom.

It has space group Cmmm (No. 65), with a = 7.196 Å, b = 12.221 Å, c = 4.267 Å, α = 90.00°, β = 90.00° and γ = 90.00°. The distinct sites, in fractional coordinates, are Ni at (0.000, 0.197, 0.000), Ag at (0.000, 0.500, 0.500), Pd at (0.000, 0.000, 0.000), Pd at (0.000, 0.281, 0.500) and Pd at (0.187, 0.381, 0.000).



# NiAg2Pd2

A relaxed NiAg2Pd2 crystal (PBE, the Alexandria database).

For the spin magnetization, the calculation gives 0.25 μB/atom. Its total DFT energy (no corrections) is -3.82 eV per atom. For the formation energy, the calculation gives 0.55 eV per atom. The energy above the most stable polymorph in this dataset comes out at 263.8 meV/atom.

It has space group I4/mmm (No. 139), with a = 3.645 Å, b = 3.645 Å, c = 13.613 Å, α = 90.00°, β = 90.00° and γ = 90.00°. The distinct sites, in fractional coordinates, are Ni at (0.000, 0.000, 0.000), Ag at (0.000, 0.500, 0.250) and Pd at (0.000, 0.000, 0.407).



# NiAg2Pd

A relaxed NiAg2Pd crystal (PBE, the Alexandria database).

For the spin magnetization, the calculation gives 0.00 μB/atom. Its total DFT energy (no corrections) is -3.97 eV per atom. For the formation energy, the calculation gives 0.20 eV per atom. The energy above the most stable polymorph in this dataset comes out at 45.8 meV/atom.

It has space group Fm-3m (No. 225), with a = 6.310 Å, b = 6.310 Å, c = 6.310 Å, α = 90.00°, β = 90.00° and γ = 90.00°. The distinct sites, in fractional coordinates, are Ni at (0.000, 0.000, 0.000), Ag at (0.250, 0.250, 0.250) and Pd at (0.000, 0.000, 0.500).



# NiAgPdPt

A relaxed NiAgPdPt crystal (PBE, the Alexandria database).

For the spin magnetization, the calculation gives 0.34 μB/atom. Its total DFT energy (no corrections) is -4.83 eV per atom. For the formation energy, the calculation gives 0.14 eV per atom.

It has space group F-43m (No. 216), with a = 6.238 Å, b = 6.238 Å, c = 6.238 Å, α = 90.00°, β = 90.00° and γ = 90.00°. The distinct sites, in fractional coordinates, are Ni at (0.000, 0.000, 0.000), Ag at (0.000, 0.000, 0.500), Pd at (0.250, 0.250, 0.750) and Pt at (0.250, 0.250, 0.250).



# NiAgPdS2

A relaxed NiAgPdS2 crystal (PBE, the Alexandria database).

The formation energy from raw total energies comes out at 1193 meV per atom. For the spin magnetization, the calculation gives 0.32 μB/atom. Its total DFT energy (no corrections) is -3.22 eV per atom.

It has space group P4/mmm (No. 123), with a = 4.688 Å, b = 4.688 Å, c = 5.016 Å, α = 90.00°, β = 90.00° and γ = 90.00°. The distinct sites, in fractional coordinates, are Ni at (0.000, 0.000, 0.000), Ag at (0.500, 0.500, 0.500), Pd at (0.500, 0.500, 0.000) and S at (0.000, 0.500, 0.500).



# NiAgSbPd

A relaxed NiAgSbPd crystal (PBE, the Alexandria database).

The formation energy from raw total energies comes out at -103 meV per atom. For the spin magnetization, the calculation gives 0.00 μB/atom. Its total DFT energy (no corrections) is -4.59 eV per atom.

It has space group F-43m (No. 216), with a = 6.412 Å, b = 6.412 Å, c = 6.412 Å, α = 90.00°, β = 90.00° and γ = 90.00°. The distinct sites, in fractional coordinates, are Ni at (0.000, 0.000, 0.000), Ag at (0.250, 0.250, 0.250), Sb at (0.250, 0.250, 0.750) and Pd at (0.000, 0.000, 0.500).



# Sc4Ni2AgPd

A relaxed Sc4Ni2AgPd crystal (PBE, the Alexandria database).

For the spin magnetization, the calculation gives 0.00 μB/atom. Its total DFT energy (no corrections) is -6.13 eV per atom. For the formation energy, the calculation gives -0.51 eV per atom.

It has space group R-3m (No. 166, hexagonal axes), with a = 4.6394 Å, b = 4.6394 Å, c = 22.7412 Å, α = 90.00°, β = 90.00° and γ = 120.00°. The distinct sites, in fractional coordinates, are Sc at (0.0000, 0.0000, 0.1224), Sc at (0.0000, 0.0000, 0.3728), Ni at (0.0000, 0.0000, 0.2505), Ag at (0.0000, 0.0000, 0.5000) and Pd at (0.0000, 0.0000, 0.0000).



# ScNiAgPd

A relaxed ScNiAgPd crystal (PBE, the Alexandria database).

For the spin magnetization, the calculation gives 0.00 μB/atom. Its total DFT energy (no corrections) is -5.43 eV per atom. For the formation energy, the calculation gives -0.39 eV per atom.

It has space group F-43m (No. 216), with a = 6.362 Å, b = 6.362 Å, c = 6.362 Å, α = 90.00°, β = 90.00° and γ = 90.00°. The distinct sites, in fractional coordinates, are Sc at (0.000, 0.000, 0.000), Ni at (0.250, 0.250, 0.750), Ag at (0.000, 0.000, 0.500) and Pd at (0.250, 0.250, 0.250).